# Pm5Sb4Te, optimized geometry, DFT GGA-PBE
data_Pm5Sb4Te
_cell_length_a 4.488
_cell_length_b 4.488
_cell_length_c 31.743
_cell_angle_alpha 90.00
_cell_angle_beta 90.00
_cell_angle_gamma 90.00
_symmetry_space_group_name_H-M 'I 4/m m m'
_symmetry_Int_Tables_number 139
_symmetry_space_group_name_Hall '-I 4 2'
loop_
_atom_site_label
_atom_site_fract_x
_atom_site_fract_y
_atom_site_fract_z
Pm1 0.000 0.000 0.000
Pm2 0.000 0.000 0.200
Pm3 0.000 0.000 0.398
Sb1 0.000 0.000 0.099
Sb2 0.000 0.000 0.300
Te1 0.000 0.000 0.500
# Energy relative to the lowest polymorph listed for this composition in eV per atom: 0.0056
# Energy in eV/atom: -5.595
# Magnetization in Bohr magnetons per cell: 0.0


# PmSbTe3, optimized geometry, DFT GGA-PBE
data_PmSbTe3
_cell_length_a 18.582
_cell_length_b 4.470
_cell_length_c 8.442
_cell_angle_alpha 90.00
_cell_angle_beta 98.19
_cell_angle_gamma 90.00
_symmetry_space_group_name_H-M 'C 1 2/m 1'
_symmetry_Int_Tables_number 12
loop_
_symmetry_equiv_pos_as_xyz
'x,y,z'
'-x,-y,-z'
'-x,y,-z'
'x,-y,z'
'x+1/2,y+1/2,z'
'-x+1/2,-y+1/2,-z'
'-x+1/2,y+1/2,-z'
'x+1/2,-y+1/2,z'
loop_
_atom_site_label
_atom_site_fract_x
_atom_site_fract_y
_atom_site_fract_z
Pm1 0.209 0.000 0.244
Sb1 0.056 0.500 0.691
Te1 0.032 0.000 0.214
Te2 0.161 0.500 0.985
Te3 0.180 0.000 0.605
# Energy in eV/atom: -4.334
# Magnetization in Bohr magnetons per cell: 0.0


# Pm5SbTe4, optimized geometry, DFT GGA-PBE
data_Pm5SbTe4
_cell_length_a 4.472
_cell_length_b 4.472
_cell_length_c 31.631
_cell_angle_alpha 90.00
_cell_angle_beta 90.00
_cell_angle_gamma 90.00
_symmetry_space_group_name_H-M 'I 4/m m m'
_symmetry_Int_Tables_number 139
_symmetry_space_group_name_Hall '-I 4 2'
loop_
_atom_site_label
_atom_site_fract_x
_atom_site_fract_y
_atom_site_fract_z
Pm1 0.000 0.000 0.000
Pm2 0.000 0.000 0.202
Pm3 0.000 0.000 0.402
Sb1 0.000 0.000 0.500
Te1 0.000 0.000 0.101
Te2 0.000 0.000 0.301
# Energy relative to the lowest polymorph listed for this composition in eV per atom: 0.0046
# Energy in eV/atom: -5.426
# Magnetization in Bohr magnetons per cell: 0.0